1.
Density functional theory data (PBE) for a geometry-optimized Nb2TeMoPd structure.

Output
* ΔE to the lowest computed polymorph: 115 kJ/mol of formula units
* formation energy from raw total energies: 1290 meV/atom
* size of the total moment: 0.0 μB/cell
* space group: No. 123

Cell lengths 4.8882, 4.8098, 4.8882 Å; angles 90.00, 90.00, 90.00 degrees
Sites, in units of the cell vectors:
Nb  0.0000  0.0000  0.5000
Nb  0.5000  0.0000  0.0000
Mo  0.0000  0.5000  0.0000
Te  0.5000  0.5000  0.5000
Pd  0.0000  0.0000  0.0000

2.
Density functional theory data (PBE) for a geometry-optimized TiNbMoPd structure.

Output
* ΔE to the lowest computed polymorph: 0 kJ/mol of formula units
* E_form: -0.30 eV per atom
* size of the total moment: 0.0 μB/cell
* space group: No. 99

Cell lengths 3.2307, 3.2307, 6.2982 Å; angles 90.00, 90.00, 90.00 degrees
Sites, in units of the cell vectors:
Pd  0.0000  0.0000  0.8485
Ti  0.5000  0.5000  0.5961
Nb  0.5000  0.5000  0.1222
Mo  0.0000  0.0000  0.3611

3.
Density functional theory data (PBE) for a geometry-optimized TiNbMoPd structure.

Output
* ΔE to the lowest computed polymorph: 29 kJ/mol of formula units
* E_form: -0.23 eV per atom
* size of the total moment: 0.0 μB/cell
* space group: No. 216

Cell lengths 4.5219, 4.5219, 4.5219 Å; angles 60.00, 60.00, 60.00 degrees
Sites, in units of the cell vectors:
Mo  0.7500  0.7500  0.7500
Ti  0.0000  0.0000  0.0000
Nb  0.5000  0.5000  0.5000
Pd  0.2500  0.2500  0.2500

4.
Density functional theory data (PBE) for a geometry-optimized NbVMoPd structure.

Output
* E_form: -0.02 eV per atom
* size of the total moment: 0.1 μB/cell
* space group: No. 216

Cell lengths 4.4712, 4.4712, 4.4712 Å; angles 60.00, 60.00, 60.00 degrees
Sites, in units of the cell vectors:
Nb  0.5000  0.5000  0.5000
V  0.0000  0.0000  0.0000
Pd  0.7500  0.7500  0.7500
Mo  0.2500  0.2500  0.2500

In the order shown, the computed density of states at the Fermi level values come out to 1.30; 0.87; 1.20; 1.08 states/eV per atom.
In the order shown, the computed VASP energy values come out to -6.5712; -8.7974; -8.7230; -8.8262 eV per atom.